Density functional theory data (GGA-PBE) for a relaxed Cr2CoMo crystal.

## Properties
The total energy comes out at -36.20 eV per formula unit. The volume comes out at 12.55 A^3/atom. The energy relative to the elements is 0.98 eV/f.u. The spin magnetization is 0.000 μB/atom.

Geometry as CIF:
```
data_Cr2CoMo
_chemical_formula_sum 'Cr2 Co1 Mo1'
_space_group_name_H-M_alt 'P m m 2'
_space_group_IT_number 25
_space_group_name_Hall 'P 2 -2'
_cell_length_a 2.539
_cell_length_b 3.705
_cell_length_c 5.337
_cell_angle_alpha 90.00
_cell_angle_beta 90.00
_cell_angle_gamma 90.00
loop_
_atom_site_label
_atom_site_fract_x
_atom_site_fract_y
_atom_site_fract_z
Cr1 0.000 0.000 0.000
Cr2 0.500 0.500 0.236
Co1 0.500 0.500 0.775
Mo1 0.000 0.000 0.513
```